Computed, not measured: a geometry-optimized Mn2Ni3 structure at the GGA-PBE level of DFT.

a = 7.459 Å, b = 6.518 Å, c = 4.865 Å
α = 80.46°, β = 59.51°, γ = 40.03°
Element x y z (fractional)
Mn (0.893, 0.712, 0.044)
Ni (0.740, 0.460, 0.346)
Mn (0.538, 0.357, 0.899)
Ni (0.790, 0.510, 0.796)
Ni (0.062, 0.938, 0.938)
Mn (0.206, 0.899, 0.357)
Ni (0.904, 0.796, 0.510)
Mn (0.351, 0.044, 0.712)
Ni (0.312, 0.188, 0.188)
Ni (0.454, 0.346, 0.460)

Summary:
Its formation energy is 0.020 eV per atom. As for the offset from the most stable computed form: 0.000 eV per atom. The density of states at the Fermi level is 1.083 states/eV per atom. As for the energy: -71.2 eV/cell. The magnetization is 8.50 μB per formula unit.